No. 1
A geometry-optimized InMoPt structure, computed with GGA-PBE.

total DFT energy (no corrections): -6.43 eV per atom
space group: F-43m
calculated formation energy: 0.11 eV per atom

```
3
Lattice="-3.395 -1.490 2.365 -2.454 -3.316 -1.524 0.218 -3.955 1.910" Properties=species:S:1:pos:R:3 pbc="T T T"
In 0.000 0.000 0.000
Mo -2.815 -4.381 1.375
Pt -4.223 -6.571 2.063
```

---

No. 2
A geometry-optimized PbSeSN2 structure, computed with GGA-PBE.

total DFT energy (no corrections): -3.69 eV per atom
space group: P4/mmm
relative energy among the computed polymorphs: 650.3 meV per atom
E_form (uncorrected): 1906 meV/atom

```
5
Lattice="4.418 0.000 0.000 0.000 4.418 0.000 0.000 0.000 6.163" Properties=species:S:1:pos:R:3 pbc="T T T"
Pb 0.000 0.000 0.000
S 2.209 2.209 3.081
Se 0.000 0.000 3.081
N 0.000 2.209 0.000
N 2.209 0.000 0.000
```

---

No. 3
A geometry-optimized BaIn2HPb structure, computed with GGA-PBE.

total DFT energy (no corrections): -3.05 eV per atom
space group: P4/mmm

```
5
Lattice="-3.243 0.982 3.750 -3.774 -1.917 -2.762 0.905 -4.673 2.006" Properties=species:S:1:pos:R:3 pbc="T T T"
Pb -3.056 -2.804 1.497
H 0.000 0.000 0.000
Ba 0.453 -2.337 1.003
In -1.887 -0.958 -1.381
In -1.622 0.491 1.875
```

---

No. 4
A geometry-optimized CsBaTl2Sn structure, computed with GGA-PBE.

total DFT energy (no corrections): -1.52 eV per atom
space group: P4/mmm
calculated formation energy: 0.78 eV per atom

```
5
Lattice="6.224 0.000 0.000 0.000 6.652 0.000 0.000 0.000 6.224" Properties=species:S:1:pos:R:3 pbc="T T T"
Cs 0.000 0.000 0.000
Tl 0.000 0.000 3.112
Tl 3.112 0.000 0.000
Ba 0.000 3.326 0.000
Sn 3.112 3.326 3.112
```

---

Number 1: calculated volume 60.14 Å³ per cell. Number 2: calculated volume 120.31 Å³ per cell. Number 3: calculated volume 131.97 Å³ per cell. Number 4: calculated volume 257.71 Å³ per cell.